Entry 1:
Material: RbNaAs2Br
Method: DFT, PBE
State: relaxed

Geometry as POSCAR:
```
RbNaAs2Br
1.0
-4.4488 0.8512 -2.7948
-1.0216 -5.2233 0.0353
-3.1407 0.6494 5.1972
Na As Br Rb
1 2 1 1
direct
0.0000 0.0000 0.0000 Na
0.0000 0.5000 0.0000 As
0.5000 0.0000 0.0000 As
0.0000 0.0000 0.5000 Br
0.5000 0.5000 0.5000 Rb
```

## Properties
* offset from the most stable computed form: 0 meV/atom
* symmetry: No. 123
* ΔE_f (raw): 0.07 eV per atom
* spin magnetization: 0.446 μB per atom
* total energy: -2.58 eV per atom
* N(E_F): 0.54 states/eV per atom

***

Entry 2:
Material: RbNaAsBr2
Method: DFT, PBE
State: relaxed

Geometry as POSCAR:
```
RbNaAsBr2
1.0
-3.2511 4.2177 2.2103
-4.3596 -3.7129 0.6724
1.8911 -1.2759 5.2160
Na As Br Rb
1 1 2 1
direct
0.0000 0.0000 0.0000 Na
0.0000 0.0000 0.5000 As
0.0000 0.5000 0.0000 Br
0.5000 0.0000 0.0000 Br
0.5000 0.5000 0.5000 Rb
```

## Properties
* offset from the most stable computed form: 0 meV/atom
* symmetry: No. 123
* ΔE_f (raw): -0.59 eV per atom
* spin magnetization: 0.599 μB per atom
* total energy: -2.65 eV per atom

***

Entry 3:
Material: RbNaAsBr2
Method: DFT, PBE
State: relaxed

Geometry as POSCAR:
```
RbNaAsBr2
1.0
6.4983 0.0000 0.0000
0.0000 6.4983 0.0000
0.0000 0.0000 6.4256
Na As Br Rb
1 1 2 1
direct
0.5000 0.5000 0.5000 Na
0.0000 0.0000 0.5000 As
0.0000 0.5000 0.0000 Br
0.5000 0.0000 0.0000 Br
0.0000 0.0000 0.0000 Rb
```

## Properties
* offset from the most stable computed form: 344 meV/atom
* symmetry: No. 123
* ΔE_f (raw): -0.25 eV per atom
* spin magnetization: 0.613 μB per atom
* total energy: -2.31 eV per atom

***

Entry 4:
Material: NaAsRhBr2
Method: DFT, PBE
State: relaxed

Geometry as POSCAR:
```
NaAsRhBr2
1.0
-3.3877 -2.9298 -2.6458
2.7168 -4.2598 1.2384
-2.9992 -0.6024 4.5072
Na As Rh Br
1 1 1 2
direct
0.0000 0.0000 0.0000 Na
0.0000 0.0000 0.5000 As
0.5000 0.5000 0.5000 Rh
0.0000 0.5000 0.0000 Br
0.5000 0.0000 0.0000 Br
```

## Properties
* offset from the most stable computed form: 1180 meV/atom
* symmetry: No. 123
* ΔE_f (raw): 0.84 eV per atom
* spin magnetization: 0.784 μB per atom
* total energy: -2.49 eV per atom
* N(E_F): 1.72 states/eV per atom

***

Entry 5:
Material: NaAsRhBr2
Method: DFT, PBE
State: relaxed

Geometry as POSCAR:
```
NaAsRhBr2
1.0
5.4521 0.0000 0.0000
0.0000 5.4521 0.0000
0.0000 0.0000 4.5986
Na As Rh Br
1 1 1 2
direct
0.5000 0.5000 0.5000 Na
0.0000 0.0000 0.5000 As
0.0000 0.0000 0.0000 Rh
0.0000 0.5000 0.0000 Br
0.5000 0.0000 0.0000 Br
```

## Properties
* offset from the most stable computed form: 0 meV/atom
* symmetry: No. 123
* ΔE_f (raw): -0.34 eV per atom
* spin magnetization: 0.000 μB per atom
* total energy: -3.67 eV per atom
* N(E_F): 0.43 states/eV per atom

***

Entry 6:
Material: NaSbAsBr2
Method: DFT, PBE
State: relaxed

Geometry as POSCAR:
```
NaSbAsBr2
1.0
-3.9221 2.2526 2.4008
-2.9650 -0.7944 -4.0986
-1.6145 -5.1120 2.1588
Sb As Br Na
1 1 2 1
direct
0.5000 0.5000 0.5000 Sb
0.0000 0.0000 0.5000 As
0.0000 0.5000 0.0000 Br
0.5000 0.0000 0.0000 Br
0.0000 0.0000 0.0000 Na
```

## Properties
* offset from the most stable computed form: 475 meV/atom
* symmetry: No. 123
* ΔE_f (raw): 0.25 eV per atom
* spin magnetization: 0.199 μB per atom
* total energy: -2.44 eV per atom
* N(E_F): 0.46 states/eV per atom

***

Entry 7:
Material: NaSbAsBr2
Method: DFT, PBE
State: relaxed

Geometry as POSCAR:
```
NaSbAsBr2
1.0
5.8176 0.0000 0.0000
0.0000 5.8176 0.0000
0.0000 0.0000 5.3660
Sb As Br Na
1 1 2 1
direct
0.0000 0.0000 0.0000 Sb
0.0000 0.0000 0.5000 As
0.0000 0.5000 0.0000 Br
0.5000 0.0000 0.0000 Br
0.5000 0.5000 0.5000 Na
```

## Properties
* offset from the most stable computed form: 0 meV/atom
* symmetry: No. 123
* ΔE_f (raw): -0.22 eV per atom
* spin magnetization: 0.152 μB per atom
* total energy: -2.91 eV per atom
* N(E_F): 0.73 states/eV per atom

***

Entry 8:
Material: NaScAs2Br
Method: DFT, PBE
State: relaxed

Geometry as POSCAR:
```
NaScAs2Br
1.0
4.9772 0.0000 0.0000
0.0000 4.9772 0.0000
0.0000 0.0000 5.1607
Sc Na As Br
1 1 2 1
direct
0.5000 0.5000 0.5000 Sc
0.0000 0.0000 0.0000 Na
0.0000 0.5000 0.0000 As
0.5000 0.0000 0.0000 As
0.0000 0.0000 0.5000 Br
```

## Properties
* offset from the most stable computed form: 812 meV/atom
* symmetry: No. 123
* ΔE_f (raw): 0.34 eV per atom
* spin magnetization: 0.000 μB per atom
* total energy: -3.38 eV per atom
* N(E_F): 0.79 states/eV per atom

***

Entry 9:
Material: NaScAs2Br
Method: DFT, PBE
State: relaxed

Geometry as POSCAR:
```
NaScAs2Br
1.0
-3.2434 -3.9879 -0.2672
0.7629 -0.9555 4.9999
-4.2477 3.3682 1.2918
Sc Na As Br
1 1 2 1
direct
0.0000 0.0000 0.0000 Sc
0.5000 0.5000 0.5000 Na
0.0000 0.5000 0.0000 As
0.5000 0.0000 0.0000 As
0.0000 0.0000 0.5000 Br
```

## Properties
* offset from the most stable computed form: 0 meV/atom
* symmetry: No. 123
* ΔE_f (raw): -0.47 eV per atom
* spin magnetization: 0.001 μB per atom
* total energy: -4.20 eV per atom
* N(E_F): 0.98 states/eV per atom

***

Entry 10:
Material: NaAsSeBr2
Method: DFT, PBE
State: relaxed

Geometry as POSCAR:
```
NaAsSeBr2
1.0
5.7518 0.0000 0.0000
0.0000 5.7518 0.0000
0.0000 0.0000 4.9565
Na As Se Br
1 1 1 2
direct
0.5000 0.5000 0.5000 Na
0.0000 0.0000 0.5000 As
0.0000 0.0000 0.0000 Se
0.0000 0.5000 0.0000 Br
0.5000 0.0000 0.0000 Br
```

## Properties
* offset from the most stable computed form: 359 meV/atom
* symmetry: No. 123
* ΔE_f (raw): -0.09 eV per atom
* spin magnetization: 0.000 μB per atom
* total energy: -2.65 eV per atom
* N(E_F): 0.39 states/eV per atom

***

Entry 11:
Material: NaAsSeBr2
Method: DFT, PBE
State: relaxed

Geometry as POSCAR:
```
NaAsSeBr2
1.0
-2.8559 3.7581 2.8599
-2.3711 -4.0315 2.9298
3.6866 0.2594 3.3406
Na As Se Br
1 1 1 2
direct
0.5000 0.5000 0.5000 Na
0.0000 0.0000 0.0000 As
0.0000 0.0000 0.5000 Se
0.0000 0.5000 0.0000 Br
0.5000 0.0000 0.0000 Br
```

## Properties
* offset from the most stable computed form: 0 meV/atom
* symmetry: No. 123
* ΔE_f (raw): -0.45 eV per atom
* spin magnetization: 0.000 μB per atom
* total energy: -3.01 eV per atom
* N(E_F): 0.27 states/eV per atom

***

Entry 12:
Material: NaAsSeBr2
Method: DFT, PBE
State: relaxed

Geometry as POSCAR:
```
NaAsSeBr2
1.0
5.1342 0.0000 0.0000
0.0000 5.1342 0.0000
0.0000 0.0000 5.4528
Na As Se Br
1 1 1 2
direct
0.0000 0.0000 0.0000 Na
0.5000 0.5000 0.5000 As
0.0000 0.0000 0.5000 Se
0.0000 0.5000 0.0000 Br
0.5000 0.0000 0.0000 Br
```

## Properties
* offset from the most stable computed form: 860 meV/atom
* symmetry: No. 123
* ΔE_f (raw): 0.41 eV per atom
* spin magnetization: 0.001 μB per atom
* total energy: -2.15 eV per atom
* N(E_F): 1.70 states/eV per atom

***

> What is the formula in the seventh record?

NaSbAsBr2

***

> What is the formula in the first record?

RbNaAs2Br

***

> offset from the most stable computed form of number 10 (NaAsSeBr2)?

359 meV/atom

***

Please write out number 10 again, unchanged.
Material: NaAsSeBr2
Method: DFT, PBE
State: relaxed

Geometry as POSCAR:
```
NaAsSeBr2
1.0
5.7518 0.0000 0.0000
0.0000 5.7518 0.0000
0.0000 0.0000 4.9565
Na As Se Br
1 1 1 2
direct
0.5000 0.5000 0.5000 Na
0.0000 0.0000 0.5000 As
0.0000 0.0000 0.0000 Se
0.0000 0.5000 0.0000 Br
0.5000 0.0000 0.0000 Br
```

## Properties
* offset from the most stable computed form: 359 meV/atom
* symmetry: No. 123
* ΔE_f (raw): -0.09 eV per atom
* spin magnetization: 0.000 μB per atom
* total energy: -2.65 eV per atom
* N(E_F): 0.39 states/eV per atom